[1]
{"formula": "Ac8Te4P3Cl", "functional": "GGA-PBE", "state": "relaxed", "cell": [[4.513, 2.605, 7.687], [-4.513, 2.605, 7.687], [0.000, -5.211, 7.687]], "species": ["Ac", "Ac", "Ac", "Ac", "Ac", "Ac", "Ac", "Ac", "Te", "Te", "Te", "Te", "P", "P", "P", "Cl"], "fractional_positions": [[0.228, 0.745, 0.745], [0.238, 0.238, 0.238], [0.255, 0.255, 0.772], [0.255, 0.772, 0.255], [0.745, 0.228, 0.745], [0.745, 0.745, 0.228], [0.762, 0.762, 0.762], [0.772, 0.255, 0.255], [0.000, 0.000, 0.000], [0.000, 0.500, 0.500], [0.500, 0.000, 0.500], [0.500, 0.500, 0.000], [0.000, 0.000, 0.500], [0.000, 0.500, 0.000], [0.500, 0.000, 0.000], [0.500, 0.500, 0.500]], "energy_ev_per_cell": -88.2, "space_group": "R-3m, No. 166", "raw_formation_energy_ev_per_atom": -1.5435}



[2]
{"formula": "BiPd3", "functional": "GGA-PBE", "state": "relaxed", "cell": [[3.501, 2.021, 3.584], [-3.501, 2.021, 3.584], [0.000, -4.043, 3.584]], "species": ["Bi", "Bi", "Pd", "Pd", "Pd", "Pd", "Pd", "Pd"], "fractional_positions": [[0.175, 0.175, 0.175], [0.825, 0.825, 0.825], [0.261, 0.261, 0.663], [0.261, 0.663, 0.261], [0.337, 0.739, 0.739], [0.663, 0.261, 0.261], [0.739, 0.337, 0.739], [0.739, 0.739, 0.337]], "e_form_ev_per_fu": -0.5, "energy_ev_per_cell": -39.9, "space_group": "R-3m, No. 166"}



[3]
{"formula": "TiAg4Se4", "functional": "GGA-PBE", "state": "relaxed", "cell": [[-3.115, 3.115, 5.936], [3.115, -3.115, 5.936], [3.115, 3.115, -5.936]], "species": ["Ti", "Ag", "Ag", "Ag", "Ag", "Se", "Se", "Se", "Se"], "fractional_positions": [[0.000, 0.000, 0.000], [0.000, 0.500, 0.500], [0.265, 0.265, 0.000], [0.500, 0.000, 0.500], [0.735, 0.735, 0.000], [0.108, 0.649, 0.000], [0.351, 0.351, 0.459], [0.649, 0.108, 0.000], [0.892, 0.892, 0.541]], "energy_ev_per_cell": -37.0, "space_group": "I-42m, No. 121", "raw_formation_energy_ev_per_atom": -0.4173}



[4]
{"formula": "CaTa2Ni", "functional": "GGA-PBE", "state": "relaxed", "cell": [[2.933, 0.000, 0.000], [0.000, 5.109, 0.000], [-0.861, 0.000, 5.022]], "species": ["Ca", "Ta", "Ta", "Ni"], "fractional_positions": [[0.000, 0.000, 0.000], [0.290, 0.500, 0.730], [0.710, 0.500, 0.270], [0.500, 0.000, 0.500]], "e_form_ev_per_fu": 2.0, "energy_ev_per_cell": -29.4, "space_group": "P2/m, No. 10", "polymorph_energy_ev_per_atom": 0.304}



[5]
{"formula": "NbIr3Ru", "functional": "GGA-PBE", "state": "relaxed", "cell": [[4.640, 0.000, 0.000], [0.000, 4.640, 0.000], [0.000, 0.000, 4.640]], "species": ["Nb", "Ir", "Ir", "Ir", "Ru"], "fractional_positions": [[0.000, 0.000, 0.000], [0.000, 0.500, 0.500], [0.500, 0.000, 0.500], [0.500, 0.500, 0.000], [0.500, 0.500, 0.500]], "e_form_ev_per_fu": 8.7, "energy_ev_per_cell": -37.2, "space_group": "Pm-3m, No. 221", "polymorph_energy_ev_per_atom": 1.249}



[6]
{"formula": "ErFeSi3Ru", "functional": "GGA-PBE", "state": "relaxed", "cell": [[3.700, -5.326, 0.000], [3.700, 5.326, 0.000], [0.000, 0.000, 5.351]], "species": ["Er", "Er", "Fe", "Fe", "Si", "Si", "Si", "Si", "Si", "Si", "Ru", "Ru"], "fractional_positions": [[0.240, 0.760, 0.750], [0.760, 0.240, 0.250], [0.042, 0.958, 0.250], [0.958, 0.042, 0.750], [0.236, 0.764, 0.250], [0.242, 0.242, 0.000], [0.242, 0.242, 0.500], [0.758, 0.758, 0.000], [0.758, 0.758, 0.500], [0.764, 0.236, 0.750], [0.442, 0.558, 0.250], [0.558, 0.442, 0.750]], "energy_ev_per_cell": -81.5, "space_group": "Cmcm, No. 63", "raw_formation_energy_ev_per_atom": -0.3613}